# 1
# Ca2Zn2Cd3

Crystalline Ca2Zn2Cd3 at its relaxed geometry (PBE, Alexandria via LeMat-Bulk).

formation energy from the elements	-0.2572	eV per atom
final energy	-1.585	eV/atom
D(E_F)	8.32	states/eV per cell

Cell: 10.7296 4.5087 7.5568 Å, 90.00 115.13 90.00°
Last column: nearest neighbours and their distance in Å.
Space group C2/m (No. 12)
One atom of each set of equivalent atoms:
Ca (0.1418, 0.0000, 0.2738) [4 per cell]  4 Zn 3.15-3.20, 6 Cd 3.33-3.52
Zn (0.1464, 0.0000, 0.7002) [4 per cell]  5 Cd 2.80-2.96
Cd (0.0000, 0.5000, 0.5000) [2 per cell]  4 Zn 2.80, 2 Cd 3.00
Cd (0.1228, 0.5000, 0.9388) [4 per cell]  3 Zn 2.80-2.96, 1 Cd 3.00

# 2
# TbPrOs4

Crystalline TbPrOs4 at its relaxed geometry (PBE, Alexandria via LeMat-Bulk).

formation energy from the elements	-0.1303	eV per atom
final energy	-9.185	eV/atom
D(E_F)	25.08	states/eV per cell

Cell: 7.6612 7.6612 7.6612 Å, 90.00 90.00 90.00°
Last column: nearest neighbours and their distance in Å.
Space group F-43m (No. 216)
One atom of each set of equivalent atoms:
Tb (0.0000, 0.0000, 0.0000) [4 per cell]  12 Os 3.18, 4 Pr 3.32
Pr (0.2500, 0.2500, 0.2500) [4 per cell]  12 Os 3.18, 4 Tb 3.32
Os (0.1252, 0.1252, 0.6252) [16 per cell]  6 Os 2.70-2.71